Entry 1:
DyMgAl2: relaxed, GGA-PBE.

Results
As for the total magnetization: 0.00 Bohr magnetons per cell. The energy above the most stable polymorph in this dataset comes out at 0.140 eV per atom. For the density of states at the Fermi level, the calculation gives 12.96 states/eV per cell. The calculated formation energy is -4.30 kcal/mol of atoms.

Cell: 6.9788 6.9788 6.9788 Å, 90.00 90.00 90.00°
Atoms (fractional coordinates):
Dy (0.0000, 0.0000, 0.0000)
Dy (0.0000, 0.5000, 0.5000)
Dy (0.5000, 0.0000, 0.5000)
Dy (0.5000, 0.5000, 0.0000)
Mg (0.0000, 0.0000, 0.5000)
Mg (0.0000, 0.5000, 0.0000)
Mg (0.5000, 0.0000, 0.0000)
Mg (0.5000, 0.5000, 0.5000)
Al (0.2500, 0.2500, 0.2500)
Al (0.2500, 0.2500, 0.7500)
Al (0.2500, 0.7500, 0.2500)
Al (0.2500, 0.7500, 0.7500)
Al (0.7500, 0.2500, 0.2500)
Al (0.7500, 0.2500, 0.7500)
Al (0.7500, 0.7500, 0.2500)
Al (0.7500, 0.7500, 0.7500)


Entry 2:
DyMgAl2: relaxed, GGA-PBE.

Results
As for the total magnetization: 0.00 Bohr magnetons per cell. The energy above the most stable polymorph in this dataset comes out at 0.134 eV per atom. For the density of states at the Fermi level, the calculation gives 2.61 states/eV per cell. The calculated formation energy is -4.44 kcal/mol of atoms.

Cell: 3.4351 3.4351 7.1702 Å, 90.00 90.00 90.00°
Atoms (fractional coordinates):
Dy (0.0000, 0.0000, 0.0000)
Mg (0.0000, 0.0000, 0.5000)
Al (0.5000, 0.5000, 0.2786)
Al (0.5000, 0.5000, 0.7214)


Entry 3:
Dy5Mg2Al: relaxed, GGA-PBE.

Results
As for the total magnetization: 0.00 Bohr magnetons per cell. For the density of states at the Fermi level, the calculation gives 14.40 states/eV per cell. The calculated formation energy is -0.24 kcal/mol of atoms.

Cell: 9.3453 9.3453 9.3453 Å, 130.82 130.82 72.09°
Atoms (fractional coordinates):
Dy (0.0000, 0.0000, 0.0000)
Dy (0.0036, 0.5036, 0.8283)
Dy (0.1753, 0.0036, 0.5000)
Dy (0.3247, 0.8247, 0.8283)
Dy (0.4964, 0.3247, 0.5000)
Dy (0.5000, 0.5000, 0.0000)
Dy (0.5036, 0.6753, 0.5000)
Dy (0.6753, 0.1753, 0.1717)
Dy (0.8247, 0.9964, 0.5000)
Dy (0.9964, 0.4964, 0.1717)
Mg (0.1276, 0.3724, 0.5000)
Mg (0.3724, 0.8724, 0.2448)
Mg (0.6276, 0.1276, 0.7552)
Mg (0.8724, 0.6276, 0.5000)
Al (0.2500, 0.2500, 0.0000)
Al (0.7500, 0.7500, 0.0000)


Entry 4:
Dy3MgAl2: relaxed, GGA-PBE.

Results
As for the total magnetization: 0.00 Bohr magnetons per cell. The energy above the most stable polymorph in this dataset comes out at 0.000 eV per atom. For the density of states at the Fermi level, the calculation gives 5.97 states/eV per cell. The calculated formation energy is -7.32 kcal/mol of atoms.

Cell: 5.1625 5.1625 12.6289 Å, 90.00 90.00 120.00°
Atoms (fractional coordinates):
Dy (0.0000, 0.0000, 0.2440)
Dy (0.0000, 0.0000, 0.7560)
Dy (0.3333, 0.6667, 0.4173)
Dy (0.3333, 0.6667, 0.9219)
Dy (0.6667, 0.3333, 0.0781)
Dy (0.6667, 0.3333, 0.5827)
Mg (0.3333, 0.6667, 0.6696)
Mg (0.6667, 0.3333, 0.3304)
Al (0.0000, 0.0000, 0.0000)
Al (0.0000, 0.0000, 0.5000)
Al (0.3333, 0.6667, 0.1734)
Al (0.6667, 0.3333, 0.8266)


Entry 5:
DyMg2Al9: relaxed, GGA-PBE.

Results
As for the total magnetization: 0.00 Bohr magnetons per cell. For the density of states at the Fermi level, the calculation gives 5.27 states/eV per cell. The calculated formation energy is -2.40 kcal/mol of atoms.

Cell: 9.4745 9.4745 9.4745 Å, 33.25 33.25 33.25°
Atoms (fractional coordinates):
Dy (0.0000, 0.0000, 0.0000)
Mg (0.1445, 0.1445, 0.1445)
Mg (0.8555, 0.8555, 0.8555)
Al (0.0802, 0.5854, 0.5854)
Al (0.3347, 0.3347, 0.3347)
Al (0.4146, 0.4146, 0.9198)
Al (0.4146, 0.9198, 0.4146)
Al (0.5000, 0.5000, 0.5000)
Al (0.5854, 0.0802, 0.5854)
Al (0.5854, 0.5854, 0.0802)
Al (0.6653, 0.6653, 0.6653)
Al (0.9198, 0.4146, 0.4146)


Entry 6:
Dy3MgAl3: relaxed, GGA-PBE.

Results
As for the total magnetization: 0.00 Bohr magnetons per cell. For the density of states at the Fermi level, the calculation gives 8.53 states/eV per cell. The calculated formation energy is -4.86 kcal/mol of atoms.

Cell: 7.0071 7.0071 7.1275 Å, 91.69 91.69 89.71°
Atoms (fractional coordinates):
Dy (0.0356, 0.4565, 0.7536)
Dy (0.0459, 0.0459, 0.2633)
Dy (0.4565, 0.0356, 0.7536)
Dy (0.5435, 0.9644, 0.2464)
Dy (0.9541, 0.9541, 0.7367)
Dy (0.9644, 0.5435, 0.2464)
Mg (0.3738, 0.3738, 0.1017)
Mg (0.6262, 0.6262, 0.8983)
Al (0.2487, 0.7513, 0.0000)
Al (0.2861, 0.7139, 0.5000)
Al (0.3182, 0.3182, 0.4793)
Al (0.6818, 0.6818, 0.5207)
Al (0.7139, 0.2861, 0.5000)
Al (0.7513, 0.2487, 0.0000)


Entry 7:
Dy7MgAl4: relaxed, GGA-PBE.

Results
As for the total magnetization: 0.00 Bohr magnetons per cell. For the density of states at the Fermi level, the calculation gives 13.84 states/eV per cell. The calculated formation energy is -1.38 kcal/mol of atoms.

Cell: 7.4678 7.4678 9.9608 Å, 121.09 121.09 43.76°
Atoms (fractional coordinates):
Dy (0.0000, 0.0000, 0.0000)
Dy (0.2236, 0.2236, 0.6747)
Dy (0.2942, 0.2942, 0.1190)
Dy (0.4313, 0.4313, 0.6052)
Dy (0.5687, 0.5687, 0.3948)
Dy (0.7058, 0.7058, 0.8810)
Dy (0.7764, 0.7764, 0.3253)
Mg (0.5000, 0.5000, 0.0000)
Al (0.0468, 0.0468, 0.7427)
Al (0.1763, 0.1763, 0.3381)
Al (0.8237, 0.8237, 0.6619)
Al (0.9532, 0.9532, 0.2573)


Entry 8:
Dy3Mg2Al: relaxed, GGA-PBE.

Results
As for the total magnetization: 0.34 Bohr magnetons per cell. The energy above the most stable polymorph in this dataset comes out at 0.013 eV per atom. For the density of states at the Fermi level, the calculation gives 6.21 states/eV per cell. The calculated formation energy is -4.39 kcal/mol of atoms.

Cell: 3.6675 3.6675 11.5549 Å, 90.00 90.00 90.00°
Atoms (fractional coordinates):
Dy (0.0000, 0.0000, 0.0000)
Dy (0.0000, 0.0000, 0.3471)
Dy (0.0000, 0.0000, 0.6529)
Mg (0.5000, 0.5000, 0.1714)
Mg (0.5000, 0.5000, 0.8286)
Al (0.5000, 0.5000, 0.5000)


Entry 9:
Dy6MgAl: relaxed, GGA-PBE.

Results
As for the total magnetization: 0.00 Bohr magnetons per cell. For the density of states at the Fermi level, the calculation gives 13.73 states/eV per cell. The calculated formation energy is -1.77 kcal/mol of atoms.

Cell: 4.8315 4.8315 9.6661 Å, 90.00 90.00 90.00°
Atoms (fractional coordinates):
Dy (0.0000, 0.0000, 0.0000)
Dy (0.0000, 0.0000, 0.5000)
Dy (0.0000, 0.5000, 0.2408)
Dy (0.0000, 0.5000, 0.7592)
Dy (0.5000, 0.0000, 0.2408)
Dy (0.5000, 0.0000, 0.7592)
Mg (0.5000, 0.5000, 0.5000)
Al (0.5000, 0.5000, 0.0000)


Entry 10:
Dy5MgAl: relaxed, GGA-PBE.

Results
As for the total magnetization: 0.00 Bohr magnetons per cell. For the density of states at the Fermi level, the calculation gives 16.17 states/eV per cell. The calculated formation energy is 0.70 kcal/mol of atoms.

Cell: 5.7651 5.7651 12.3942 Å, 97.37 97.37 86.05°
Atoms (fractional coordinates):
Dy (0.0203, 0.9797, 0.7500)
Dy (0.0889, 0.4485, 0.6291)
Dy (0.2068, 0.4883, 0.9228)
Dy (0.4485, 0.0889, 0.1291)
Dy (0.4883, 0.2068, 0.4228)
Dy (0.5117, 0.7932, 0.5772)
Dy (0.5515, 0.9111, 0.8709)
Dy (0.7932, 0.5117, 0.0772)
Dy (0.9111, 0.5515, 0.3709)
Dy (0.9797, 0.0203, 0.2500)
Mg (0.3797, 0.6203, 0.2500)
Mg (0.6203, 0.3797, 0.7500)
Al (0.0000, 0.0000, 0.0000)
Al (0.0000, 0.0000, 0.5000)


Entry 11:
Dy8MgAl2: relaxed, GGA-PBE.

Results
As for the total magnetization: 0.00 Bohr magnetons per cell. For the density of states at the Fermi level, the calculation gives 13.31 states/eV per cell. The calculated formation energy is -0.46 kcal/mol of atoms.

Cell: 8.4261 8.4261 5.5265 Å, 101.67 101.67 117.11°
Atoms (fractional coordinates):
Dy (0.0885, 0.3286, 0.6054)
Dy (0.2255, 0.7745, 0.0000)
Dy (0.3286, 0.0885, 0.6054)
Dy (0.3987, 0.3987, 0.1982)
Dy (0.6013, 0.6013, 0.8018)
Dy (0.6714, 0.9115, 0.3946)
Dy (0.7745, 0.2255, 0.0000)
Dy (0.9115, 0.6714, 0.3946)
Mg (0.0000, 0.0000, 0.0000)
Al (0.3063, 0.6937, 0.5000)
Al (0.6937, 0.3063, 0.5000)


Entry 12:
Dy4MgAl: relaxed, GGA-PBE.

Results
As for the total magnetization: 0.00 Bohr magnetons per cell. For the density of states at the Fermi level, the calculation gives 9.67 states/eV per cell. The calculated formation energy is 4.71 kcal/mol of atoms.

Cell: 8.9837 8.9837 8.9837 Å, 32.91 32.91 32.91°
Atoms (fractional coordinates):
Dy (0.1200, 0.1200, 0.1200)
Dy (0.3717, 0.3717, 0.3717)
Dy (0.6283, 0.6283, 0.6283)
Dy (0.8800, 0.8800, 0.8800)
Mg (0.5000, 0.5000, 0.5000)
Al (0.0000, 0.0000, 0.0000)


Entry 13:
Dy3Mg2Al: relaxed, GGA-PBE.

Results
As for the total magnetization: 0.00 Bohr magnetons per cell. The energy above the most stable polymorph in this dataset comes out at 0.000 eV per atom. For the density of states at the Fermi level, the calculation gives 11.20 states/eV per cell. The calculated formation energy is -4.69 kcal/mol of atoms.

Cell: 5.2486 5.2486 12.8924 Å, 90.00 90.00 120.00°
Atoms (fractional coordinates):
Dy (0.0000, 0.0000, 0.2448)
Dy (0.0000, 0.0000, 0.7552)
Dy (0.3333, 0.6667, 0.4101)
Dy (0.3333, 0.6667, 0.9160)
Dy (0.6667, 0.3333, 0.0840)
Dy (0.6667, 0.3333, 0.5899)
Mg (0.0000, 0.0000, 0.0000)
Mg (0.0000, 0.0000, 0.5000)
Mg (0.3333, 0.6667, 0.6628)
Mg (0.6667, 0.3333, 0.3372)
Al (0.3333, 0.6667, 0.1625)
Al (0.6667, 0.3333, 0.8375)


Entry 14:
Dy4Mg3Al: relaxed, GGA-PBE.

Results
As for the total magnetization: 0.00 Bohr magnetons per cell. The energy above the most stable polymorph in this dataset comes out at 0.073 eV per atom. For the density of states at the Fermi level, the calculation gives 7.28 states/eV per cell. The calculated formation energy is -2.25 kcal/mol of atoms.

Cell: 3.4176 4.9783 12.4900 Å, 90.00 90.00 90.00°
Atoms (fractional coordinates):
Dy (0.0000, 0.0000, 0.0000)
Dy (0.0000, 0.5000, 0.3268)
Dy (0.5000, 0.0000, 0.4838)
Dy (0.5000, 0.5000, 0.8374)
Mg (0.0000, 0.0000, 0.7273)
Mg (0.0000, 0.5000, 0.5948)
Mg (0.5000, 0.5000, 0.1011)
Al (0.5000, 0.0000, 0.2290)


Entry 15:
DyMg3Al8: relaxed, GGA-PBE.

Results
As for the total magnetization: 0.00 Bohr magnetons per cell. For the density of states at the Fermi level, the calculation gives 4.04 states/eV per cell. The calculated formation energy is -3.54 kcal/mol of atoms.

Cell: 5.5034 5.5034 8.7523 Å, 90.00 90.00 120.00°
Atoms (fractional coordinates):
Dy (0.0000, 0.0000, 0.0000)
Mg (0.0000, 0.0000, 0.3750)
Mg (0.6667, 0.3333, 0.4987)
Mg (0.6667, 0.3333, 0.8656)
Al (0.1625, 0.3249, 0.6842)
Al (0.1625, 0.8375, 0.6842)
Al (0.3333, 0.6667, 0.4400)
Al (0.3333, 0.6667, 0.9352)
Al (0.5039, 0.0078, 0.1846)
Al (0.5039, 0.4961, 0.1846)
Al (0.6751, 0.8375, 0.6842)
Al (0.9922, 0.4961, 0.1846)


Entry 16:
Dy4Mg3Al: relaxed, GGA-PBE.

Results
As for the total magnetization: 0.00 Bohr magnetons per cell. The energy above the most stable polymorph in this dataset comes out at 0.000 eV per atom. For the density of states at the Fermi level, the calculation gives 8.35 states/eV per cell. The calculated formation energy is -3.95 kcal/mol of atoms.

Cell: 9.1555 9.1555 9.1555 Å, 33.52 33.52 33.52°
Atoms (fractional coordinates):
Dy (0.1216, 0.1216, 0.1216)
Dy (0.3719, 0.3719, 0.3719)
Dy (0.6281, 0.6281, 0.6281)
Dy (0.8784, 0.8784, 0.8784)
Mg (0.2471, 0.2471, 0.2471)
Mg (0.5000, 0.5000, 0.5000)
Mg (0.7529, 0.7529, 0.7529)
Al (0.0000, 0.0000, 0.0000)


Entry 17:
Dy2MgAl3: relaxed, GGA-PBE.

Results
As for the total magnetization: 0.00 Bohr magnetons per cell. For the density of states at the Fermi level, the calculation gives 7.21 states/eV per cell. The calculated formation energy is -6.00 kcal/mol of atoms.

Cell: 3.7830 4.6356 16.1378 Å, 90.00 90.00 90.00°
Atoms (fractional coordinates):
Dy (0.0000, 0.0000, 0.0000)
Dy (0.0000, 0.5000, 0.2838)
Dy (0.5000, 0.0000, 0.7838)
Dy (0.5000, 0.5000, 0.5000)
Mg (0.0000, 0.0000, 0.6044)
Mg (0.5000, 0.5000, 0.1044)
Al (0.0000, 0.0000, 0.4408)
Al (0.0000, 0.5000, 0.6832)
Al (0.0000, 0.5000, 0.8397)
Al (0.5000, 0.0000, 0.1832)
Al (0.5000, 0.0000, 0.3397)
Al (0.5000, 0.5000, 0.9408)


Entry 18:
Dy2MgAl3: relaxed, GGA-PBE.

Results
As for the total magnetization: 0.00 Bohr magnetons per cell. For the density of states at the Fermi level, the calculation gives 9.89 states/eV per cell. The calculated formation energy is -1.62 kcal/mol of atoms.

Cell: 7.9561 7.9561 5.0016 Å, 90.00 90.00 69.19°
Atoms (fractional coordinates):
Dy (0.0604, 0.6632, 0.7500)
Dy (0.3368, 0.9396, 0.7500)
Dy (0.6632, 0.0604, 0.2500)
Dy (0.9396, 0.3368, 0.2500)
Mg (0.4029, 0.5971, 0.2500)
Mg (0.5971, 0.4029, 0.7500)
Al (0.0790, 0.9210, 0.2500)
Al (0.3075, 0.3075, 0.0000)
Al (0.3075, 0.3075, 0.5000)
Al (0.6925, 0.6925, 0.0000)
Al (0.6925, 0.6925, 0.5000)
Al (0.9210, 0.0790, 0.7500)


Entry 19:
NaDyMgAl: relaxed, GGA-PBE.

Results
As for the total magnetization: 0.00 Bohr magnetons per cell. For the density of states at the Fermi level, the calculation gives 10.09 states/eV per cell. The calculated formation energy is -0.28 kcal/mol of atoms.

Cell: 7.2157 7.2157 7.2157 Å, 90.00 90.00 90.00°
Atoms (fractional coordinates):
Na (0.0000, 0.0000, 0.0000)
Na (0.0000, 0.5000, 0.5000)
Na (0.5000, 0.0000, 0.5000)
Na (0.5000, 0.5000, 0.0000)
Dy (0.2500, 0.2500, 0.7500)
Dy (0.2500, 0.7500, 0.2500)
Dy (0.7500, 0.2500, 0.2500)
Dy (0.7500, 0.7500, 0.7500)
Mg (0.2500, 0.2500, 0.2500)
Mg (0.2500, 0.7500, 0.7500)
Mg (0.7500, 0.2500, 0.7500)
Mg (0.7500, 0.7500, 0.2500)
Al (0.0000, 0.0000, 0.5000)
Al (0.0000, 0.5000, 0.0000)
Al (0.5000, 0.0000, 0.0000)
Al (0.5000, 0.5000, 0.5000)


Entry 20:
NdDyMgAl: relaxed, GGA-PBE.

Results
As for the total magnetization: 0.00 Bohr magnetons per cell. For the density of states at the Fermi level, the calculation gives 9.79 states/eV per cell. The calculated formation energy is -6.07 kcal/mol of atoms.

Cell: 7.4717 7.4717 7.4717 Å, 90.00 90.00 90.00°
Atoms (fractional coordinates):
Nd (0.0000, 0.0000, 0.0000)
Nd (0.0000, 0.5000, 0.5000)
Nd (0.5000, 0.0000, 0.5000)
Nd (0.5000, 0.5000, 0.0000)
Dy (0.0000, 0.0000, 0.5000)
Dy (0.0000, 0.5000, 0.0000)
Dy (0.5000, 0.0000, 0.0000)
Dy (0.5000, 0.5000, 0.5000)
Mg (0.2500, 0.2500, 0.2500)
Mg (0.2500, 0.7500, 0.7500)
Mg (0.7500, 0.2500, 0.7500)
Mg (0.7500, 0.7500, 0.2500)
Al (0.2500, 0.2500, 0.7500)
Al (0.2500, 0.7500, 0.2500)
Al (0.7500, 0.2500, 0.2500)
Al (0.7500, 0.7500, 0.7500)